Here is a relaxed structure of ZnCoSb2 from Alexandria via LeMat-Bulk. Energies are from PBE.

Cell and atoms, written as CIF:
```
data_ZnCoSb2
_symmetry_space_group_name_H-M 'I -4 m 2'
_symmetry_Int_Tables_number 119
_symmetry_space_group_name_Hall 'I -4 -2'
_cell_length_a 3.965
_cell_length_b 3.965
_cell_length_c 10.036
_cell_angle_alpha 90.00
_cell_angle_beta 90.00
_cell_angle_gamma 90.00
loop_
_atom_site_label
_atom_site_fract_x
_atom_site_fract_y
_atom_site_fract_z
Zn1 0.000 0.000 0.000
Co1 0.000 0.500 0.750
Sb1 0.000 0.000 0.500
Sb2 0.000 0.500 0.250
```

Results
ΔE_f (raw) in meV/atom: 419.3
Total moment in μB per cell: 2.3
Calculated density in Mg/m³: 7.7